[1]
# LiTl5, optimized geometry, DFT PBE-GGA
data_LiTl5
_cell_length_a 6.072
_cell_length_b 6.072
_cell_length_c 5.344
_cell_angle_alpha 90.00
_cell_angle_beta 90.00
_cell_angle_gamma 120.00
_space_group_name_H-M_alt 'P 1'
_space_group_IT_number 1
_space_group_name_Hall 'P 1'
loop_
_atom_site_label
_atom_site_type_symbol
_atom_site_fract_x
_atom_site_fract_y
_atom_site_fract_z
Li1 Li 0.333 0.000 0.500
Tl1 Tl 0.015 0.000 0.000
Tl2 Tl 0.652 0.318 0.000
Tl3 Tl 0.333 0.682 0.000
Tl4 Tl 0.000 0.333 0.500
Tl5 Tl 0.667 0.667 0.500
# Space group   No. 189
# Polymorph energy (0 for the lowest one)   0.027 eV per atom
# Formation enthalpy at 0 K   -0.03 eV per atom

---

[2]
# ZnAgRuF6, optimized geometry, DFT PBE-GGA
data_ZnAgRuF6
_cell_length_a 5.482
_cell_length_b 5.482
_cell_length_c 10.313
_cell_angle_alpha 90.00
_cell_angle_beta 90.00
_cell_angle_gamma 120.00
_space_group_name_H-M_alt 'P 1'
_space_group_IT_number 1
_space_group_name_Hall 'P 1'
loop_
_atom_site_label
_atom_site_type_symbol
_atom_site_fract_x
_atom_site_fract_y
_atom_site_fract_z
Zn1 Zn 0.333 0.667 0.250
Zn2 Zn 0.667 0.333 0.750
Ag1 Ag 0.000 0.000 0.000
Ag2 Ag 0.000 0.000 0.500
Ru1 Ru 0.667 0.333 0.250
Ru2 Ru 0.333 0.667 0.750
F1 F 0.642 0.635 0.146
F2 F 0.993 0.358 0.146
F3 F 0.358 0.993 0.646
F4 F 0.007 0.642 0.854
F5 F 0.365 0.358 0.354
F6 F 0.993 0.635 0.354
F7 F 0.635 0.993 0.854
F8 F 0.642 0.007 0.354
F9 F 0.007 0.365 0.646
F10 F 0.365 0.007 0.146
F11 F 0.635 0.642 0.646
F12 F 0.358 0.365 0.854
# Space group   No. 163
# Energy relative to the elements, uncorrected   -1664 meV per atom

---

Number 1: density 10.0 g cm⁻³, calculated volume 28.44 Å³/atom, magnetization 0.00 Bohr magnetons per cell. Number 2: density 4.8 g cm⁻³, calculated volume 14.91 Å³/atom, magnetization 2.00 Bohr magnetons per cell.